No. 1
Computed, not measured: crystalline La3P at its relaxed geometry at the PBE level of DFT.

Calculated values
excess energy over the best structure of this formula in the dataset	0.1120	eV/atom
N(E_F)	1.2834	states/eV/atom
calculated formation energy	-642	meV per atom

a = 3.9243 Å, b = 6.4841 Å, c = 9.8736 Å
α = 90.00°, β = 90.00°, γ = 90.00°
Last column: nearest neighbours and their distance in Å.
Space group Pmmn (No. 59, origin choice 2)
Inequivalent atoms, fractional coordinates:
La (0.2500, 0.0115, 0.1661) [4 per cell]  2 P 3.02, 1 La 3.09
La (0.2500, 0.2500, 0.5613) [2 per cell]  2 P 2.95
P (0.2500, 0.7500, 0.6612) [2 per cell]  6 La 2.95-3.02

No. 2
Computed, not measured: crystalline LaP at its relaxed geometry at the PBE level of DFT.

Calculated values
N(E_F)	0.0266	states/eV/atom
calculated formation energy	-1308	meV per atom

a = 10.0631 Å, b = 10.0631 Å, c = 5.9819 Å
α = 90.00°, β = 90.00°, γ = 90.00°
Last column: nearest neighbours and their distance in Å.
Space group I4/mcm (No. 140)
Inequivalent atoms, fractional coordinates:
La (0.1456, 0.3544, 0.0000) [8 per cell]  5 P 2.94-2.99
P (0.1464, 0.3536, 0.5000) [8 per cell]  5 La 2.94-2.99

No. 3
Computed, not measured: crystalline La5PaP6 at its relaxed geometry at the PBE level of DFT.

Calculated values
N(E_F)	0.3985	states/eV/atom
calculated formation energy	-1543	meV per atom

a = 7.3012 Å, b = 12.6351 Å, c = 7.2904 Å
α = 90.00°, β = 109.49°, γ = 90.00°
Last column: nearest neighbours and their distance in Å.
Space group C2/m (No. 12)
Inequivalent atoms, fractional coordinates:
La (0.0000, 0.0000, 0.0000) [2 per cell]  6 P 2.97-3.13
La (0.0000, 0.1660, 0.5000) [4 per cell]  6 P 2.99-3.00
La (0.0000, 0.3308, 0.0000) [4 per cell]  6 P 2.97-3.10
Pa (0.0000, 0.5000, 0.5000) [2 per cell]  6 P 2.83
P (0.2352, 0.5000, 0.2602) [4 per cell]  1 Pa 2.83, 5 La 2.99-3.13
P (0.2377, 0.3420, 0.7395) [8 per cell]  1 Pa 2.83, 5 La 2.97-3.10